(1)
PBE TbDyTmCu, relaxed; energy relative to the elements = -2.4 kcal/mol of atoms; space group = P4mm (99)
1.0
3.468 0.000 0.000
0.000 3.468 0.000
0.000 0.000 8.650
Tb Dy Tm Cu
1 1 1 1
direct
0.000 0.000 0.000 Tb
0.500 0.500 0.695 Dy
0.500 0.500 0.301 Tm
0.000 0.000 0.491 Cu

=====

(2)
PBE CaTb2Eu, relaxed; energy relative to the lowest polymorph listed for this composition = 0 meV/atom; energy relative to the elements = 3.2 kcal/mol of atoms; space group = P4/mmm (123)
1.0
3.660 0.000 0.000
0.000 3.660 0.000
0.000 0.000 10.609
Ca Tb Eu
1 2 1
direct
0.000 0.000 0.000 Ca
0.500 0.500 0.255 Tb
0.500 0.500 0.745 Tb
0.000 0.000 0.500 Eu

=====

(3)
PBE Nd4N, relaxed; formation energy without anion corrections = -0.427 eV/atom; space group = Pm-3m (221)
1.0
5.169 0.000 0.000
0.000 5.169 0.000
0.000 0.000 5.169
Nd N
4 1
direct
0.000 0.000 0.000 Nd
0.000 0.500 0.500 Nd
0.500 0.000 0.500 Nd
0.500 0.500 0.000 Nd
0.500 0.500 0.500 N

=====

(4)
PBE SiRu2, relaxed; formation energy without anion corrections = -0.146 eV/atom; space group = I4_1/amd (141)
1.0
-1.430 1.430 10.176
1.430 -1.430 10.176
1.430 1.430 -10.176
Si Ru
2 4
direct
0.375 0.625 0.750 Si
0.625 0.375 0.250 Si
0.054 0.804 0.250 Ru
0.196 0.946 0.250 Ru
0.804 0.054 0.750 Ru
0.946 0.196 0.750 Ru

=====

(5)
PBE Ce3FeGe, relaxed; energy relative to the lowest polymorph listed for this composition = 50 meV/atom; energy relative to the elements = -6.6 kcal/mol of atoms; space group = P-1 (2)
1.0
4.361 0.000 0.000
2.118 5.233 0.000
1.899 1.943 9.646
Ce Fe Ge
6 2 2
direct
0.038 0.206 0.250 Ce
0.322 0.235 0.548 Ce
0.372 0.801 0.946 Ce
0.628 0.199 0.054 Ce
0.678 0.765 0.452 Ce
0.962 0.794 0.750 Ce
0.209 0.214 0.851 Fe
0.791 0.786 0.149 Fe
0.327 0.617 0.262 Ge
0.673 0.383 0.738 Ge

=====

(6)
PBE Cs3BaCu2F9, relaxed; formation energy without anion corrections = -2.454 eV/atom; space group = P-3m1 (164)
1.0
6.318 0.000 0.000
-3.159 5.471 0.000
0.000 0.000 7.967
Cs Ba Cu F
3 1 2 9
direct
0.000 0.000 0.000 Cs
0.333 0.667 0.692 Cs
0.667 0.333 0.308 Cs
0.000 0.000 0.500 Ba
0.333 0.667 0.147 Cu
0.667 0.333 0.853 Cu
0.000 0.500 0.000 F
0.183 0.366 0.299 F
0.183 0.817 0.299 F
0.366 0.183 0.701 F
0.500 0.000 0.000 F
0.500 0.500 0.000 F
0.634 0.817 0.299 F
0.817 0.183 0.701 F
0.817 0.634 0.701 F

=====

(7)
PBE Re3Pb, relaxed; energy relative to the lowest polymorph listed for this composition = 0 meV/atom; energy relative to the elements = 14.5 kcal/mol of atoms; space group = R-3m (166)
1.0
1.465 0.846 9.377
-1.465 0.846 9.377
0.000 -1.691 9.377
Re Pb
3 1
direct
0.000 0.000 0.000 Re
0.260 0.260 0.260 Re
0.740 0.740 0.740 Re
0.500 0.500 0.500 Pb

=====

(8)
PBE Mg3Mo, relaxed; energy relative to the lowest polymorph listed for this composition = 233 meV/atom; energy relative to the elements = 9.9 kcal/mol of atoms; space group = Fm-3m (225)
1.0
0.000 3.379 3.379
3.379 0.000 3.379
3.379 3.379 0.000
Mg Mo
3 1
direct
0.000 0.000 0.000 Mg
0.250 0.250 0.250 Mg
0.750 0.750 0.750 Mg
0.500 0.500 0.500 Mo

=====

(9)
PBE Li5Hf3S8, relaxed; formation energy without anion corrections = -1.507 eV/atom; space group = R-3m (166)
1.0
3.648 2.106 6.097
-3.648 2.106 6.097
0.000 -4.212 6.097
Li Hf S
5 3 8
direct
0.000 0.000 0.000 Li
0.000 0.500 0.500 Li
0.500 0.000 0.500 Li
0.500 0.500 0.000 Li
0.500 0.500 0.500 Li
0.000 0.000 0.500 Hf
0.000 0.500 0.000 Hf
0.500 0.000 0.000 Hf
0.241 0.750 0.750 S
0.249 0.249 0.249 S
0.250 0.250 0.759 S
0.250 0.759 0.250 S
0.750 0.241 0.750 S
0.750 0.750 0.241 S
0.751 0.751 0.751 S
0.759 0.250 0.250 S

=====

(10)
PBE RbCoAsAu, relaxed; energy relative to the elements = -7.3 kcal/mol of atoms; space group = P4/nmm (129)
1.0
3.869 0.000 0.000
0.000 3.869 0.000
0.000 0.000 12.926
Rb Co As Au
2 2 2 2
direct
0.250 0.250 0.231 Rb
0.750 0.750 0.769 Rb
0.250 0.750 0.500 Co
0.750 0.250 0.500 Co
0.250 0.250 0.599 As
0.750 0.750 0.401 As
0.250 0.750 0.000 Au
0.750 0.250 0.000 Au

=====

(11)
PBE Pm3Sc2, relaxed; energy relative to the lowest polymorph listed for this composition = 0 meV/atom; energy relative to the elements = 1.4 kcal/mol of atoms; space group = P-1 (2)
1.0
6.081 0.000 0.000
2.036 6.646 0.000
1.980 1.241 7.434
Pm Sc
6 4
direct
0.010 0.240 0.495 Pm
0.200 0.553 0.098 Pm
0.407 0.339 0.698 Pm
0.593 0.661 0.302 Pm
0.800 0.447 0.902 Pm
0.990 0.760 0.505 Pm
0.201 0.048 0.093 Sc
0.398 0.854 0.708 Sc
0.602 0.146 0.292 Sc
0.799 0.952 0.907 Sc

=====

(12)
PBE AcNd6Ho6, relaxed; energy relative to the elements = 5.3 kcal/mol of atoms; space group = P6/mmm (191)
1.0
6.777 0.000 0.000
-3.388 5.869 0.000
0.000 0.000 11.528
Ac Nd Ho
1 6 6
direct
0.000 0.000 0.000 Ac
0.000 0.000 0.352 Nd
0.000 0.000 0.648 Nd
0.333 0.667 0.000 Nd
0.333 0.667 0.500 Nd
0.667 0.333 0.000 Nd
0.667 0.333 0.500 Nd
0.000 0.500 0.249 Ho
0.000 0.500 0.751 Ho
0.500 0.000 0.249 Ho
0.500 0.000 0.751 Ho
0.500 0.500 0.249 Ho
0.500 0.500 0.751 Ho

=====

(13)
PBE HfBe3Ni, relaxed; energy relative to the lowest polymorph listed for this composition = 0 meV/atom; energy relative to the elements = -0.4 kcal/mol of atoms; space group = Pm-3m (221)
1.0
3.927 0.000 0.000
0.000 3.927 0.000
0.000 0.000 3.927
Hf Be Ni
1 3 1
direct
0.000 0.000 0.000 Hf
0.000 0.500 0.500 Be
0.500 0.000 0.500 Be
0.500 0.500 0.000 Be
0.500 0.500 0.500 Ni

=====

(14)
PBE Mg3FeRu, relaxed; energy relative to the lowest polymorph listed for this composition = 0 meV/atom; energy relative to the elements = 20.3 kcal/mol of atoms; space group = Pm-3m (221)
1.0
4.857 0.000 0.000
0.000 4.857 0.000
0.000 0.000 4.857
Mg Fe Ru
3 1 1
direct
0.000 0.000 0.500 Mg
0.000 0.500 0.000 Mg
0.500 0.000 0.000 Mg
0.500 0.500 0.500 Fe
0.000 0.000 0.000 Ru

=====

(15)
PBE Lu2InAg, relaxed; energy relative to the lowest polymorph listed for this composition = 0 meV/atom; energy relative to the elements = -8.9 kcal/mol of atoms; space group = P4/mmm (123)
1.0
3.567 0.000 0.000
0.000 3.567 0.000
0.000 0.000 7.524
Lu In Ag
2 1 1
direct
0.000 0.000 0.235 Lu
0.000 0.000 0.765 Lu
0.500 0.500 0.500 In
0.500 0.500 0.000 Ag

=====

(16)
PBE P3RhN, relaxed; formation energy without anion corrections = 1.734 eV/atom; space group = Pm-3m (221)
1.0
4.531 0.000 0.000
0.000 4.531 0.000
0.000 0.000 4.531
P Rh N
3 1 1
direct
0.000 0.000 0.500 P
0.000 0.500 0.000 P
0.500 0.000 0.000 P
0.000 0.000 0.000 Rh
0.500 0.500 0.500 N

=====

(17)
PBE TePd, relaxed; formation energy without anion corrections = -0.203 eV/atom; space group = P6_3/m (176)
1.0
8.470 0.000 0.000
-4.235 7.335 0.000
0.000 0.000 4.960
Te Pd
6 6
direct
0.001 0.708 0.250 Te
0.292 0.293 0.250 Te
0.293 0.001 0.750 Te
0.707 0.999 0.250 Te
0.708 0.707 0.750 Te
0.999 0.292 0.750 Te
0.077 0.446 0.250 Pd
0.369 0.923 0.250 Pd
0.446 0.369 0.750 Pd
0.554 0.631 0.250 Pd
0.631 0.077 0.750 Pd
0.923 0.554 0.750 Pd

=====

(18)
PBE Er2TmHg, relaxed; energy relative to the lowest polymorph listed for this composition = 180 meV/atom; energy relative to the elements = -1.0 kcal/mol of atoms; space group = Fm-3m (225)
1.0
0.000 3.781 3.781
3.781 0.000 3.781
3.781 3.781 0.000
Er Tm Hg
2 1 1
direct
0.250 0.250 0.250 Er
0.750 0.750 0.750 Er
0.000 0.000 0.000 Tm
0.500 0.500 0.500 Hg

=====

(19)
PBE Tm3Si4Os, relaxed; formation energy without anion corrections = -0.487 eV/atom; space group = Immm (71)
1.0
-2.098 2.780 7.184
2.098 -2.780 7.184
2.098 2.780 -7.184
Tm Si Os
3 4 1
direct
0.000 0.000 0.000 Tm
0.306 0.806 0.500 Tm
0.694 0.194 0.500 Tm
0.087 0.378 0.709 Si
0.332 0.622 0.709 Si
0.668 0.378 0.291 Si
0.913 0.622 0.291 Si
0.500 0.500 0.000 Os

=====

(20)
PBE LiV2P2, relaxed; energy relative to the elements = -14.9 kcal/mol of atoms; space group = P4/mbm (127)
1.0
6.487 0.000 0.000
0.000 6.487 0.000
0.000 0.000 3.069
Li V P
2 4 4
direct
0.000 0.000 0.000 Li
0.500 0.500 0.000 Li
0.148 0.352 0.500 V
0.352 0.852 0.500 V
0.648 0.148 0.500 V
0.852 0.648 0.500 V
0.145 0.645 0.000 P
0.355 0.145 0.000 P
0.645 0.855 0.000 P
0.855 0.355 0.000 P

=====

no.,DOS(E_F) (states/eV per atom)
1,1.25
2,1.68
3,1.50
4,1.35
5,2.10
6,0.20
7,0.70
8,0.58
9,0.21
10,0.45
11,1.51
12,2.08
13,0.13
14,1.70
15,0.67
16,1.18
17,0.47
18,1.32
19,0.56
20,0.78